MnCoTeI2: optimized geometry, PBE.

```
MnCoTeI2
1.0
5.283 0.000 0.000
0.000 5.283 0.000
0.000 0.000 4.916
I Co Mn Te
2 1 1 1
direct
0.500 0.000 0.000 I
0.000 0.500 0.000 I
0.000 0.000 0.000 Co
0.500 0.500 0.500 Mn
0.000 0.000 0.500 Te
```

Output
Its distance to the lowest polymorph of the same formula is 0.3938 eV per atom. Its total energy is -3.336 eV per atom. As for the space group: P4/mmm, No. 123. For the uncorrected formation energy, the calculation gives 5.8 eV per formula unit. The calculation puts the total magnetization at 0.56 μB per cell.